Below is a relaxed Ca2Zn2CuPt5 crystal, with properties calculated at the PBE level.

The value obtained for the total magnetization is 0.00 μB per cell. The symmetry is No. 127. The formation energy is -0.62 eV per atom.

POSCAR file:
```
Ca2Zn2CuPt5
1.0
9.554 0.000 0.000
0.000 9.554 0.000
0.000 0.000 3.787
Ca Zn Cu Pt
4 4 2 10
Cartesian
1.679 3.098 0.000
3.098 7.876 0.000
6.456 1.679 0.000
7.876 6.456 0.000
1.196 5.973 0.000
3.581 1.196 0.000
5.973 8.359 0.000
8.359 3.581 0.000
0.000 0.000 0.000
4.777 4.777 0.000
0.000 4.777 1.893
0.594 7.647 1.893
1.908 0.594 1.893
2.870 5.371 1.893
4.183 2.870 1.893
4.777 0.000 1.893
5.371 6.685 1.893
6.685 4.183 1.893
7.647 8.960 1.893
8.960 1.908 1.893
```